# 1
This record from Alexandria describes an optimized crystal structure of LaAl4IrOs2. The functional is GGA-PBE.

Cell lengths 4.2713, 4.2713, 26.6462 Å; angles 90.00, 90.00, 120.00 degrees
Last column: nearest neighbours and their distance in Å.
Space group R-3m (No. 166, hexagonal axes)
Unique sites:
La: 0.0000 0.0000 0.0000 x3  8 Al 3.16-3.52
Al: 0.0000 0.0000 0.1323 x6  4 Os 2.63-2.74, 3 Ir 2.63, 3 Al 2.91
Al: 0.0000 0.0000 0.4076 x6  1 Ir 2.46, 3 Os 2.55
Ir: 0.0000 0.0000 0.5000 x3  8 Al 2.46-2.63
Os: 0.0000 0.0000 0.2350 x6  7 Al 2.55-2.74

Calculated values
Formation energy, eV per atom: -0.4999

# 2
This record from Alexandria describes an optimized crystal structure of LaAl4Ir2Os. The functional is GGA-PBE.

Cell lengths 4.2509, 4.2509, 27.0046 Å; angles 90.00, 90.00, 120.00 degrees
Last column: nearest neighbours and their distance in Å.
Space group R-3m (No. 166, hexagonal axes)
Unique sites:
La: 0.0000 0.0000 0.0000 x3  6 Al 3.18
Al: 0.0000 0.0000 0.1341 x6  3 Os 2.61, 4 Ir 2.63-2.71
Al: 0.0000 0.0000 0.4082 x6  1 Os 2.48, 3 Ir 2.54
Ir: 0.0000 0.0000 0.2344 x6  7 Al 2.54-2.71
Os: 0.0000 0.0000 0.5000 x3  8 Al 2.48-2.61

Calculated values
Formation energy, eV per atom: -0.6844

# 3
This record from Alexandria describes an optimized crystal structure of La2Al6IrOs. The functional is GGA-PBE.

Cell lengths 6.7260, 6.7440, 9.5232 Å; angles 90.00, 90.00, 90.00 degrees
Last column: nearest neighbours and their distance in Å.
Space group Immm (No. 71)
Unique sites:
La: 0.0000 0.0000 0.2500 x4  12 Al 3.36-3.37
Al: 0.0000 0.5000 0.2504 x4  1 Os 2.38, 1 Ir 2.38
Al: 0.2504 0.2497 0.0000 x8  1 Os 2.38, 1 Ir 2.38
Ir: 0.0000 0.5000 0.0000 x2  6 Al 2.38
Os: 0.0000 0.5000 0.5000 x2  6 Al 2.38

Calculated values
Formation energy, eV per atom: -0.4562

Summary of magnetization in μB/cell
0.00; 0.00; 0.00
(order as listed above)
Summary of DOS at the Fermi energy in states/eV/cell
10.77; 15.36; 8.92
(order as listed above)